1.
An optimized crystal structure of SrCaCu2P2, computed with PBE.

Lattice parameters (Å, degrees): 4.0814 4.0814 8.2285 90.00 90.00 120.00
With the nearest neighbours (Å) after each atom.
Space group P-3m1 (No. 164)
Inequivalent atoms, fractional coordinates:
Sr (0.0000, 0.0000, 0.0000) x1  6 P 3.19, 6 Cu 3.20
Ca (0.0000, 0.0000, 0.5000) x1  6 Cu 3.05, 6 P 3.07
Cu (0.3333, 0.6667, 0.7362) x2  3 P 2.36
P (0.3333, 0.6667, 0.2617) x2  3 Cu 2.36

## Properties
**ΔH_f (0 K)**: -5.06 eV per formula unit
**Calculated volume**: 19.78 A^3/atom
**E_tot**: -4.63 eV per atom

***

2.
An optimized crystal structure of LiTl2Co, computed with PBE.

Lattice parameters (Å, degrees): 6.5833 6.5974 3.3520 90.00 90.00 90.00
With the nearest neighbours (Å) after each atom.
Space group Cmmm (No. 65)
Inequivalent atoms, fractional coordinates:
Li (0.0000, 0.0000, 0.0000) x2  8 Tl 2.87
Tl (0.2500, 0.2500, 0.5000) x4  4 Li 2.87, 4 Co 2.87
Co (0.0000, 0.5000, 0.0000) x2  8 Tl 2.87

## Properties
**ΔH_f (0 K)**: 0.93 eV per formula unit
**Calculated volume**: 18.20 A^3/atom
**E_tot**: -3.21 eV per atom

***

3.
An optimized crystal structure of SmHfRh2, computed with PBE.

Lattice parameters (Å, degrees): 3.3307 3.3307 6.9910 90.00 90.00 90.00
With the nearest neighbours (Å) after each atom.
Space group P4/mmm (No. 123)
Inequivalent atoms, fractional coordinates:
Sm (0.0000, 0.0000, 0.0000) x1  8 Rh 3.08, 4 Sm 3.33
Hf (0.0000, 0.0000, 0.5000) x1  8 Rh 2.80
Rh (0.5000, 0.5000, 0.2841) x2  4 Hf 2.80, 1 Rh 3.02, 4 Sm 3.08

## Properties
**ΔH_f (0 K)**: -3.28 eV per formula unit
**Calculated volume**: 19.39 A^3/atom
**E_tot**: -8.16 eV per atom

***

4.
An optimized crystal structure of MgTa2Cl, computed with PBE.

Lattice parameters (Å, degrees): 3.1191 5.4419 4.7121 90.00 95.29 90.00
With the nearest neighbours (Å) after each atom.
Space group P2/m (No. 10)
Inequivalent atoms, fractional coordinates:
Mg (0.0000, 0.0000, 0.0000) x1  4 Cl 2.70-2.94, 4 Ta 3.01
Ta (0.2672, 0.5000, 0.2248) x2  3 Ta 2.57-2.85
Cl (0.5000, 0.0000, 0.5000) x1  4 Mg 2.70-2.94

## Properties
**E above lowest polymorph**: 151 kJ/mol of formula units
**Calculated volume**: 19.91 A^3/atom
**E_tot**: -6.46 eV per atom
**Formation energy (no corrections)**: 0.33 eV per atom